No. 1
Here is a geometry-optimized PuTaS structure from the Alexandria database. Energies are from GGA-PBE.

Cell and atoms, written as CIF:
```
data_PuTaS
_cell_length_a 5.056
_cell_length_b 3.211
_cell_length_c 8.204
_cell_angle_alpha 101.28
_cell_angle_beta 107.95
_cell_angle_gamma 90.00
_space_group_name_H-M_alt 'P 1'
_space_group_IT_number 1
loop_
_space_group_symop_operation_xyz
'x,y,z'
loop_
_atom_site_label
_atom_site_type_symbol
_atom_site_fract_x
_atom_site_fract_y
_atom_site_fract_z
_atom_site_occupancy
Pu1 Pu 0.668 0.168 0.336 1
Pu2 Pu 0.332 0.832 0.664 1
Ta1 Ta 0.746 0.500 0.000 1
Ta2 Ta 0.254 0.500 0.000 1
S1 S 0.150 0.650 0.301 1
S2 S 0.850 0.350 0.699 1
```

Results
The uncorrected formation energy comes out at -385 meV/atom. For the total DFT energy (no corrections), the calculation gives -62.94 eV for the cell shown.


No. 2
Here is a geometry-optimized PuTa4S8 structure from the Alexandria database. Energies are from GGA-PBE.

Cell and atoms, written as CIF:
```
data_PuTa4S8
_cell_length_a 6.824
_cell_length_b 6.824
_cell_length_c 7.627
_cell_angle_alpha 100.50
_cell_angle_beta 106.06
_cell_angle_gamma 119.15
_space_group_name_H-M_alt 'P 1'
_space_group_IT_number 1
loop_
_space_group_symop_operation_xyz
'x,y,z'
loop_
_atom_site_label
_atom_site_type_symbol
_atom_site_fract_x
_atom_site_fract_y
_atom_site_fract_z
_atom_site_occupancy
Pu1 Pu 0.000 0.500 0.500 1
Ta1 Ta 0.205 0.205 0.000 1
Ta2 Ta 0.795 0.795 0.000 1
Ta3 Ta 0.233 0.777 0.010 1
Ta4 Ta 0.767 0.223 0.990 1
S1 S 0.702 0.020 0.227 1
S2 S 0.207 0.525 0.227 1
S3 S 0.682 0.501 0.183 1
S4 S 0.221 0.042 0.264 1
S5 S 0.779 0.958 0.736 1
S6 S 0.318 0.499 0.817 1
S7 S 0.793 0.475 0.773 1
S8 S 0.298 0.980 0.773 1
```

Results
The calculation puts the energy above the most stable polymorph in this dataset at 0.0 meV per atom. The uncorrected formation energy comes out at -1137 meV/atom. For the total DFT energy (no corrections), the calculation gives -109.55 eV for the cell shown.


No. 3
Here is a geometry-optimized Pu3TaTl3S8 structure from the Alexandria database. Energies are from GGA-PBE.

Cell and atoms, written as CIF:
```
data_Pu3TaTl3S8
_cell_length_a 7.893
_cell_length_b 7.890
_cell_length_c 8.867
_cell_angle_alpha 116.42
_cell_angle_beta 90.16
_cell_angle_gamma 119.98
_space_group_name_H-M_alt 'P 1'
_space_group_IT_number 1
loop_
_space_group_symop_operation_xyz
'x,y,z'
loop_
_atom_site_label
_atom_site_type_symbol
_atom_site_fract_x
_atom_site_fract_y
_atom_site_fract_z
_atom_site_occupancy
Pu1 Pu 0.500 0.000 0.500 1
Pu2 Pu 0.500 0.500 0.500 1
Pu3 Pu 0.000 0.500 0.500 1
Ta1 Ta 0.000 0.000 0.500 1
Tl1 Tl 0.000 0.000 0.000 1
Tl2 Tl 0.000 0.500 0.000 1
Tl3 Tl 0.500 0.500 0.000 1
S1 S 0.268 0.534 0.299 1
S2 S 0.732 0.466 0.701 1
S3 S 0.787 0.572 0.312 1
S4 S 0.213 0.428 0.688 1
S5 S 0.786 0.026 0.312 1
S6 S 0.214 0.974 0.688 1
S7 S 0.241 0.027 0.313 1
S8 S 0.759 0.973 0.687 1
```

Results
The uncorrected formation energy comes out at -1127 meV/atom. For the total DFT energy (no corrections), the calculation gives -111.86 eV for the cell shown.


No. 4
Here is a geometry-optimized Tb4PuS5 structure from the Alexandria database. Energies are from GGA-PBE.

Cell and atoms, written as CIF:
```
data_Tb4PuS5
_cell_length_a 3.944
_cell_length_b 5.551
_cell_length_c 10.381
_cell_angle_alpha 105.51
_cell_angle_beta 100.95
_cell_angle_gamma 90.00
_space_group_name_H-M_alt 'P 1'
_space_group_IT_number 1
loop_
_space_group_symop_operation_xyz
'x,y,z'
loop_
_atom_site_label
_atom_site_type_symbol
_atom_site_fract_x
_atom_site_fract_y
_atom_site_fract_z
_atom_site_occupancy
Tb1 Tb 0.401 0.401 0.801 1
Tb2 Tb 0.802 0.802 0.603 1
Tb3 Tb 0.198 0.198 0.397 1
Tb4 Tb 0.599 0.599 0.199 1
Pu1 Pu 0.000 0.000 0.000 1
S1 S 0.600 0.100 0.200 1
S2 S 0.800 0.300 0.599 1
S3 S 0.200 0.700 0.401 1
S4 S 0.000 0.500 0.000 1
S5 S 0.400 0.900 0.800 1
```

Results
The uncorrected formation energy comes out at -1980 meV/atom. For the total DFT energy (no corrections), the calculation gives -73.29 eV for the cell shown.


No. 5
Here is a geometry-optimized TbPu2S3 structure from the Alexandria database. Energies are from GGA-PBE.

Cell and atoms, written as CIF:
```
data_TbPu2S3
_cell_length_a 3.928
_cell_length_b 3.928
_cell_length_c 19.627
_cell_angle_alpha 90.00
_cell_angle_beta 90.00
_cell_angle_gamma 120.00
_space_group_name_H-M_alt 'P 1'
_space_group_IT_number 1
loop_
_space_group_symop_operation_xyz
'x,y,z'
loop_
_atom_site_label
_atom_site_type_symbol
_atom_site_fract_x
_atom_site_fract_y
_atom_site_fract_z
_atom_site_occupancy
Tb1 Tb 0.000 0.000 0.250 1
Tb2 Tb 0.000 0.000 0.750 1
Pu1 Pu 0.333 0.667 0.916 1
Pu2 Pu 0.667 0.333 0.084 1
Pu3 Pu 0.667 0.333 0.416 1
Pu4 Pu 0.333 0.667 0.584 1
S1 S 0.000 0.000 0.000 1
S2 S 0.333 0.667 0.165 1
S3 S 0.333 0.667 0.335 1
S4 S 0.000 0.000 0.500 1
S5 S 0.667 0.333 0.665 1
S6 S 0.667 0.333 0.835 1
```

Results
The uncorrected formation energy comes out at -1834 meV/atom. For the total DFT energy (no corrections), the calculation gives -113.36 eV for the cell shown.


No. 6
Here is a geometry-optimized TbPu3S4 structure from the Alexandria database. Energies are from GGA-PBE.

Cell and atoms, written as CIF:
```
data_TbPu3S4
_cell_length_a 5.589
_cell_length_b 5.589
_cell_length_c 5.589
_cell_angle_alpha 90.00
_cell_angle_beta 90.00
_cell_angle_gamma 90.00
_space_group_name_H-M_alt 'P 1'
_space_group_IT_number 1
loop_
_space_group_symop_operation_xyz
'x,y,z'
loop_
_atom_site_label
_atom_site_type_symbol
_atom_site_fract_x
_atom_site_fract_y
_atom_site_fract_z
_atom_site_occupancy
Tb1 Tb 0.000 0.000 0.000 1
Pu1 Pu 0.000 0.500 0.500 1
Pu2 Pu 0.500 0.000 0.500 1
Pu3 Pu 0.500 0.500 0.000 1
S1 S 0.500 0.000 0.000 1
S2 S 0.000 0.500 0.000 1
S3 S 0.000 0.000 0.500 1
S4 S 0.500 0.500 0.500 1
```

Results
The calculation puts the energy above the most stable polymorph in this dataset at 2.2 meV per atom. The uncorrected formation energy comes out at -1837 meV/atom. For the total DFT energy (no corrections), the calculation gives -78.83 eV for the cell shown.


No. 7
Here is a geometry-optimized TbPu2S5 structure from the Alexandria database. Energies are from GGA-PBE.

Cell and atoms, written as CIF:
```
data_TbPu2S5
_cell_length_a 5.321
_cell_length_b 5.062
_cell_length_c 8.089
_cell_angle_alpha 80.05
_cell_angle_beta 70.80
_cell_angle_gamma 58.29
_space_group_name_H-M_alt 'P 1'
_space_group_IT_number 1
loop_
_space_group_symop_operation_xyz
'x,y,z'
loop_
_atom_site_label
_atom_site_type_symbol
_atom_site_fract_x
_atom_site_fract_y
_atom_site_fract_z
_atom_site_occupancy
Tb1 Tb 0.500 0.500 0.500 1
Pu1 Pu 0.822 0.500 0.855 1
Pu2 Pu 0.178 0.500 0.145 1
S1 S 0.178 0.829 0.816 1
S2 S 0.494 0.829 0.184 1
S3 S 0.000 0.500 0.500 1
S4 S 0.822 0.171 0.184 1
S5 S 0.506 0.171 0.816 1
```

Results
The uncorrected formation energy comes out at -1460 meV/atom. For the total DFT energy (no corrections), the calculation gives -65.61 eV for the cell shown.


No. 8
Here is a geometry-optimized TbPu6S8 structure from the Alexandria database. Energies are from GGA-PBE.

Cell and atoms, written as CIF:
```
data_TbPu6S8
_cell_length_a 7.931
_cell_length_b 7.931
_cell_length_c 7.931
_cell_angle_alpha 60.00
_cell_angle_beta 60.00
_cell_angle_gamma 60.00
_space_group_name_H-M_alt 'P 1'
_space_group_IT_number 1
loop_
_space_group_symop_operation_xyz
'x,y,z'
loop_
_atom_site_label
_atom_site_type_symbol
_atom_site_fract_x
_atom_site_fract_y
_atom_site_fract_z
_atom_site_occupancy
Tb1 Tb 0.000 0.000 0.000 1
Pu1 Pu 0.000 0.500 0.500 1
Pu2 Pu 0.500 0.000 0.000 1
Pu3 Pu 0.500 0.500 0.000 1
Pu4 Pu 0.000 0.000 0.500 1
Pu5 Pu 0.000 0.500 0.000 1
Pu6 Pu 0.500 0.000 0.500 1
S1 S 0.750 0.750 0.750 1
S2 S 0.250 0.250 0.250 1
S3 S 0.753 0.247 0.247 1
S4 S 0.247 0.753 0.753 1
S5 S 0.247 0.247 0.753 1
S6 S 0.753 0.753 0.247 1
S7 S 0.753 0.247 0.753 1
S8 S 0.247 0.753 0.247 1
```

Results
The uncorrected formation energy comes out at -1797 meV/atom. For the total DFT energy (no corrections), the calculation gives -150.59 eV for the cell shown.